a.
Compound: ZnCoMoAs
Source: the Open Quantum Materials Database
Functional: GGA-PBE
Structure: optimized geometry

Cell: 4.256 4.256 4.256 Å, 60.00 60.00 60.00°
Element x y z (fractional)
1 As 0.000 0.000 0.000
2 Mo 0.250 0.250 0.250
3 Co 0.750 0.750 0.750
4 Zn 0.500 0.500 0.500

***

b.
Compound: ZnCoMoAs
Source: the Open Quantum Materials Database
Functional: GGA-PBE
Structure: optimized geometry

Cell: 4.356 4.356 4.356 Å, 60.00 60.00 60.00°
Element x y z (fractional)
1 Mo 0.500 0.500 0.500
2 Zn 0.250 0.250 0.250
3 As 0.000 0.000 0.000
4 Co 0.750 0.750 0.750

***

What are the relative energies? In meV/atom: a 0; b 305.

***

a.
Compound: NaTlCoAs
Source: the Open Quantum Materials Database
Functional: GGA-PBE
Structure: optimized geometry

Cell: 4.895 4.895 4.895 Å, 60.00 60.00 60.00°
Element x y z (fractional)
1 Tl 0.250 0.250 0.250
2 Co 0.000 0.000 0.000
3 As 0.500 0.500 0.500
4 Na 0.750 0.750 0.750

***

b.
Compound: NaTlCoAs
Source: the Open Quantum Materials Database
Functional: GGA-PBE
Structure: optimized geometry

Cell: 4.669 4.669 4.669 Å, 60.00 60.00 60.00°
Element x y z (fractional)
1 Co 0.250 0.250 0.250
2 As 0.000 0.000 0.000
3 Tl 0.500 0.500 0.500
4 Na 0.750 0.750 0.750

***

What are the relative energies? In meV/atom: a 209; b 0.

***

a.
Compound: NbCoNiAs
Source: the Open Quantum Materials Database
Functional: GGA-PBE
Structure: optimized geometry

Cell: 4.258 4.258 4.258 Å, 60.00 60.00 60.00°
Element x y z (fractional)
1 Ni 0.750 0.750 0.750
2 As 0.000 0.000 0.000
3 Nb 0.250 0.250 0.250
4 Co 0.500 0.500 0.500

***

b.
Compound: NbCoNiAs
Source: the Open Quantum Materials Database
Functional: GGA-PBE
Structure: optimized geometry

Cell: 4.241 4.241 4.241 Å, 60.00 60.00 60.00°
Element x y z (fractional)
1 Ni 0.500 0.500 0.500
2 Co 0.750 0.750 0.750
3 As 0.000 0.000 0.000
4 Nb 0.250 0.250 0.250

***

c.
Compound: NbCoNiAs
Source: the Open Quantum Materials Database
Functional: GGA-PBE
Structure: optimized geometry

Cell: 4.233 4.233 4.233 Å, 60.00 60.00 60.00°
Element x y z (fractional)
1 Co 0.750 0.750 0.750
2 As 0.000 0.000 0.000
3 Nb 0.500 0.500 0.500
4 Ni 0.250 0.250 0.250

***

What are the relative energies? In meV/atom: a 22; b 0; c 56.

***

a.
Compound: NbCoAsPt
Source: the Open Quantum Materials Database
Functional: GGA-PBE
Structure: optimized geometry

Cell: 4.447 4.447 4.447 Å, 60.00 60.00 60.00°
Element x y z (fractional)
1 Pt 0.250 0.250 0.250
2 Nb 0.500 0.500 0.500
3 Co 0.750 0.750 0.750
4 As 0.000 0.000 0.000

***

b.
Compound: NbCoAsPt
Source: the Open Quantum Materials Database
Functional: GGA-PBE
Structure: optimized geometry

Cell: 4.408 4.408 4.408 Å, 60.00 60.00 60.00°
Element x y z (fractional)
1 As 0.000 0.000 0.000
2 Pt 0.500 0.500 0.500
3 Nb 0.250 0.250 0.250
4 Co 0.750 0.750 0.750

***

What are the relative energies? In meV/atom: a 240; b 0.

***

a.
Compound: YNbCoAs
Source: the Open Quantum Materials Database
Functional: GGA-PBE
Structure: optimized geometry

Cell: 4.571 4.571 4.571 Å, 60.00 60.00 60.00°
Element x y z (fractional)
1 Nb 0.250 0.250 0.250
2 As 0.000 0.000 0.000
3 Co 0.750 0.750 0.750
4 Y 0.500 0.500 0.500

***

b.
Compound: YNbCoAs
Source: the Open Quantum Materials Database
Functional: GGA-PBE
Structure: optimized geometry

Cell: 4.642 4.642 4.642 Å, 60.00 60.00 60.00°
Element x y z (fractional)
1 As 0.000 0.000 0.000
2 Nb 0.500 0.500 0.500
3 Y 0.250 0.250 0.250
4 Co 0.750 0.750 0.750

***

What are the relative energies? In meV/atom: a 0; b 133.